Computed, not measured: an optimized crystal structure of RbLiZr2Co at the PBE level of DFT.

The calculated formation energy is 2080 meV/atom. Its total DFT energy (no corrections) is -16.68 eV for the cell shown. As for the crystal system: tetragonal.

It has space group P4/mmm (No. 123), with a = 5.105 Å, b = 5.105 Å, c = 4.439 Å, α = 90.00°, β = 90.00° and γ = 90.00°. The inequivalent atoms are Rb at (0.000, 0.000, 0.000), Li at (0.500, 0.500, 0.500), Zr at (0.000, 0.500, 0.000) and Co at (0.000, 0.000, 0.500).

=====

Computed, not measured: an optimized crystal structure of RbLiZrCo2 at the PBE level of DFT.

The calculated formation energy is 1065 meV/atom. Its total DFT energy (no corrections) is -20.31 eV for the cell shown. As for the crystal system: tetragonal.

It has space group P4/mmm (No. 123), with a = 4.717 Å, b = 4.717 Å, c = 5.802 Å, α = 90.00°, β = 90.00° and γ = 90.00°. The inequivalent atoms are Rb at (0.000, 0.000, 0.000), Li at (0.500, 0.500, 0.000), Zr at (0.500, 0.500, 0.500) and Co at (0.000, 0.500, 0.500).

=====

Computed, not measured: an optimized crystal structure of LiCoRe2 at the PBE level of DFT.

The calculated formation energy is 175 meV/atom. Its total DFT energy (no corrections) is -33.22 eV for the cell shown. As for the crystal system: monoclinic. Its energy above the most stable polymorph in this dataset is 0.06 eV per formula unit.

It has space group Pm (No. 6), with a = 2.590 Å, b = 4.158 Å, c = 4.843 Å, α = 90.00°, β = 97.89° and γ = 90.00°. The inequivalent atoms are Li at (0.000, 0.000, 0.000), Co at (0.060, 0.500, 0.769), Re at (0.436, 0.000, 0.510) and Re at (0.645, 0.500, 0.234).

=====

One value per record, in order, for Fermi-level density of states: 1.320, 1.431, 0.554 states/eV per atom.